Record 1
Ti3Mn2Ga | PBE | optimized geometry

The formation energy is -0.366 eV per atom. The value obtained for the density of states at the Fermi level is 0.710 states/eV/atom.

The structure belongs to space group P4/mmm (No. 123); the cell edges are 3.0495, 3.0495 and 9.0690 Å and the angles 90.00°, 90.00° and 90.00°. The distinct sites, in fractional coordinates, are Ti at (0.0000, 0.0000, 0.0000), Ti at (0.0000, 0.0000, 0.3132), Mn at (0.5000, 0.5000, 0.1678) and Ga at (0.5000, 0.5000, 0.5000).

=====

Record 2
LiGa2Pd9 | PBE | optimized geometry

The formation energy is -0.371 eV per atom. The value obtained for the density of states at the Fermi level is 1.325 states/eV/atom.

The structure belongs to space group P4/mmm (No. 123); the cell edges are 3.9384, 3.9384 and 11.5998 Å and the angles 90.00°, 90.00° and 90.00°. The distinct sites, in fractional coordinates, are Li at (0.0000, 0.0000, 0.0000), Ga at (0.0000, 0.0000, 0.3328), Pd at (0.0000, 0.5000, 0.1669), Pd at (0.0000, 0.5000, 0.5000), Pd at (0.5000, 0.5000, 0.0000) and Pd at (0.5000, 0.5000, 0.3320).

=====

Record 3
BaYRe2 | PBE | optimized geometry

The formation energy is 0.394 eV per atom. The value obtained for the density of states at the Fermi level is 1.175 states/eV/atom.

The structure belongs to space group P4mm (No. 99); the cell edges are 3.2424, 3.2424 and 9.5997 Å and the angles 90.00°, 90.00° and 90.00°. The distinct sites, in fractional coordinates, are Ba at (0.0000, 0.0000, 0.0000), Y at (0.5000, 0.5000, 0.6132), Re at (0.0000, 0.0000, 0.3974) and Re at (0.5000, 0.5000, 0.2666).

=====

Record 4
PmZrNiGe | PBE | optimized geometry

The formation energy is -0.336 eV per atom. The value obtained for the density of states at the Fermi level is 0.837 states/eV/atom.

The structure belongs to space group F-43m (No. 216); the cell edges are 6.8737, 6.8737 and 6.8737 Å and the angles 90.00°, 90.00° and 90.00°. The distinct sites, in fractional coordinates, are Pm at (0.0000, 0.0000, 0.0000), Zr at (0.0000, 0.0000, 0.5000), Ni at (0.2500, 0.2500, 0.2500) and Ge at (0.2500, 0.2500, 0.7500).

=====

Record 5
LiCoPIr2 | PBE | optimized geometry

The formation energy is 1.034 eV per atom. The value obtained for the density of states at the Fermi level is 1.092 states/eV/atom.

The structure belongs to space group P4/mmm (No. 123); the cell edges are 4.4388, 4.4388 and 4.0412 Å and the angles 90.00°, 90.00° and 90.00°. The distinct sites, in fractional coordinates, are Li at (0.0000, 0.0000, 0.0000), Co at (0.0000, 0.0000, 0.5000), P at (0.5000, 0.5000, 0.0000) and Ir at (0.0000, 0.5000, 0.5000).

=====

Record 6
Cs2CrAgBr6 | PBE | optimized geometry

The value obtained for the uncorrected formation energy is -11.25 eV/f.u.

The structure belongs to space group P-3m1 (No. 164); the cell edges are 7.7154, 7.7154 and 6.8977 Å and the angles 90.00°, 90.00° and 120.00°. The distinct sites, in fractional coordinates, are Cs at (0.3333, 0.6667, 0.2242), Cr at (0.0000, 0.0000, 0.0000), Ag at (0.0000, 0.0000, 0.5000) and Br at (0.1564, 0.3128, 0.7872).

=====

Record 7
K2TeMo | PBE | optimized geometry

The value obtained for the uncorrected formation energy is 2.25 eV/f.u. The value obtained for the density of states at the Fermi level is 0.430 states/eV/atom.

The structure belongs to space group Cmmm (No. 65); the cell edges are 6.2993, 8.6978 and 4.9551 Å and the angles 90.00°, 90.00° and 90.00°. The distinct sites, in fractional coordinates, are K at (0.2500, 0.2500, 0.0000), Te at (0.0000, 0.0000, 0.5000) and Mo at (0.0000, 0.5000, 0.5000).

=====

Record 8
La5Nd3Er3 | PBE | optimized geometry

The formation energy is 0.288 eV per atom. The value obtained for the density of states at the Fermi level is 1.567 states/eV/atom.

The structure belongs to space group P-62m (No. 189); the cell edges are 11.5049, 11.5049 and 3.4862 Å and the angles 90.00°, 90.00° and 120.00°. The distinct sites, in fractional coordinates, are La at (0.0000, 0.3361, 0.0000), La at (0.3333, 0.6667, 0.0000), Nd at (0.0000, 0.5988, 0.5000) and Er at (0.0000, 0.8413, 0.0000).

=====

Record 9
Ca2NiIr | PBE | optimized geometry

The formation energy is -0.032 eV per atom. The value obtained for the density of states at the Fermi level is 0.544 states/eV/atom.

The structure belongs to space group P2/m (No. 10); the cell edges are 3.3115, 3.6605 and 6.5821 Å and the angles 90.00°, 90.25° and 90.00°. The distinct sites, in fractional coordinates, are Ca at (0.0013, 0.0000, 0.2459), Ni at (0.5000, 0.5000, 0.5000) and Ir at (0.5000, 0.5000, 0.0000).

=====

Record 10
Ac6CoNiPd2 | PBE | optimized geometry

The formation energy is -0.339 eV per atom. The value obtained for the density of states at the Fermi level is 0.843 states/eV/atom.

The structure belongs to space group R3 (No. 146, hexagonal axes); the cell edges are 7.5544, 7.5544 and 20.6830 Å and the angles 90.00°, 90.00° and 120.00°. The distinct sites, in fractional coordinates, are Ac at (0.0274, 0.3363, 0.0000), Ac at (0.0320, 0.6856, 0.5022), Co at (0.0000, 0.0000, 0.9234), Ni at (0.0000, 0.0000, 0.4220), Pd at (0.0000, 0.0000, 0.2390) and Pd at (0.0000, 0.0000, 0.7381).

=====

Record 11
Li2Al2Te | PBE | optimized geometry

The value obtained for the uncorrected formation energy is -0.79 eV/f.u. The value obtained for the density of states at the Fermi level is 0.364 states/eV/atom.

The structure belongs to space group I4/mmm (No. 139); the cell edges are 3.8987, 3.8987 and 13.2320 Å and the angles 90.00°, 90.00° and 90.00°. The distinct sites, in fractional coordinates, are Li at (0.0000, 0.0000, 0.0921), Al at (0.0000, 0.5000, 0.2500) and Te at (0.0000, 0.0000, 0.5000).

=====

Record 12
VCo3Se | PBE | optimized geometry

The value obtained for the uncorrected formation energy is 4.00 eV/f.u. The value obtained for the density of states at the Fermi level is 1.313 states/eV/atom.

The structure belongs to space group Pm-3m (No. 221); the cell edges are 4.2760, 4.2760 and 4.2760 Å and the angles 90.00°, 90.00° and 90.00°. The distinct sites, in fractional coordinates, are V at (0.0000, 0.0000, 0.0000), Co at (0.0000, 0.5000, 0.5000) and Se at (0.5000, 0.5000, 0.5000).

=====

| no. | magnetic moment (μB/cell) |
| --- | --- |
| 1 | 0.00 |
| 2 | 0.00 |
| 3 | 0.00 |
| 4 | 3.49 |
| 5 | 0.95 |
| 6 | 2.92 |
| 7 | 9.17 |
| 8 | 0.00 |
| 9 | 0.00 |
| 10 | 0.00 |
| 11 | 0.00 |
| 12 | 5.68 |